6
Lattice="0.0000 3.4570 3.4570 3.4570 0.0000 3.4570 3.4570 3.4570 0.0000" Properties=species:S:1:pos:R:3 comment="ZnFe4Sb PBE-GGA relaxed" crystal_system=cubic e_form_raw_mev_per_atom=172.0 pbc="T T T"
Zn 0.0000 0.0000 0.0000
Fe 4.3269 2.5871 2.5871
Fe 2.5871 4.3269 2.5871
Fe 2.5871 2.5871 4.3269
Fe 4.3269 4.3269 4.3269
Sb 1.7285 1.7285 1.7285